Entry 1:
Mn2SiRh | PBE | optimized geometry

Cell: 4.5471 4.5471 4.5471 Å, 133.09 133.09 68.51°
Last column: nearest neighbours and their distance in Å.
Fractional coordinates of all 4 atoms:
Mn: 0.0000 0.0000 0.0000  4 Mn 2.56, 4 Rh 2.61, 4 Si 2.61
Mn: 0.5000 0.5000 0.0000  4 Mn 2.56, 4 Si 2.61, 4 Rh 2.61
Si: 0.7500 0.2500 0.5000  4 Rh 2.56, 8 Mn 2.61
Rh: 0.2500 0.7500 0.5000  4 Si 2.56, 8 Mn 2.61

Values from the calculation:
total energy	-8.04	eV per atom
E_form (uncorrected)	-0.26	eV per atom

Entry 2:
Mn2SiRh | PBE | optimized geometry

Cell: 2.8985 2.8985 5.8698 Å, 90.00 90.00 90.00°
Last column: nearest neighbours and their distance in Å.
Fractional coordinates of all 4 atoms:
Mn: 0.0000 0.0000 0.9924  4 Si 2.45, 4 Mn 2.46
Mn: 0.5000 0.5000 0.2242  4 Mn 2.46, 4 Rh 2.68, 1 Si 2.70
Si: 0.5000 0.5000 0.7641  5 Mn 2.45-2.70, 4 Rh 2.50
Rh: 0.0000 0.0000 0.5194  4 Si 2.50, 5 Mn 2.68-2.78

Values from the calculation:
total energy	-8.13	eV per atom
E_form (uncorrected)	-0.35	eV per atom

Entry 3:
Mn2SiRh | PBE | optimized geometry

Cell: 4.4016 4.4016 4.4016 Å, 128.57 128.57 75.70°
Last column: nearest neighbours and their distance in Å.
Fractional coordinates of all 4 atoms:
Mn: 0.2500 0.7500 0.5000  4 Mn 2.58, 4 Rh 2.58, 4 Si 2.70
Mn: 0.0000 0.0000 0.0000  4 Mn 2.58, 4 Si 2.58, 4 Rh 2.70
Rh: 0.5000 0.5000 0.0000  4 Si 2.58, 8 Mn 2.58-2.70
Si: 0.7500 0.2500 0.5000  8 Mn 2.58-2.70, 4 Rh 2.58

Values from the calculation:
total energy	-8.18	eV per atom
E_form (uncorrected)	-0.40	eV per atom

Entry 4:
Mn2SiRh | PBE | optimized geometry

Cell: 8.0359 8.0359 8.0359 Å, 19.04 19.04 19.04°
Last column: nearest neighbours and their distance in Å.
Fractional coordinates of all 4 atoms:
Rh: 0.4969 0.4969 0.4969  3 Si 2.49, 6 Rh 2.66, 3 Mn 2.66
Si: 0.7476 0.7476 0.7476  3 Mn 2.45, 3 Rh 2.49, 6 Si 2.66
Mn: 0.0002 0.0002 0.0002  9 Mn 2.40-2.66, 3 Si 2.45
Mn: 0.2554 0.2554 0.2554  9 Mn 2.40-2.66, 3 Rh 2.66

Values from the calculation:
total energy	-7.88	eV per atom
E_form (uncorrected)	-0.10	eV per atom

Entry 5:
Mn2SiRh | PBE | optimized geometry

Cell: 8.2285 8.2285 8.2285 Å, 18.53 18.53 18.53°
Last column: nearest neighbours and their distance in Å.
Fractional coordinates of all 4 atoms:
Mn: 0.4964 0.4964 0.4964  3 Si 2.47, 3 Rh 2.60, 6 Mn 2.65
Mn: 0.0036 0.0036 0.0036  3 Si 2.47, 3 Rh 2.60, 6 Mn 2.65
Si: 0.7500 0.7500 0.7500  6 Mn 2.47, 6 Si 2.65
Rh: 0.2500 0.2500 0.2500  6 Mn 2.60, 6 Rh 2.65

Values from the calculation:
total energy	-7.84	eV per atom
E_form (uncorrected)	-0.06	eV per atom

Entry 6:
MnSi2Rh | PBE | optimized geometry

Cell: 4.0813 4.0813 4.0813 Å, 60.00 60.00 60.00°
Last column: nearest neighbours and their distance in Å.
Fractional coordinates of all 4 atoms:
Rh: 0.5000 0.5000 0.5000  8 Si 2.50
Mn: 0.0000 0.0000 0.0000  8 Si 2.50
Si: 0.2500 0.2500 0.2500  4 Rh 2.50, 4 Mn 2.50
Si: 0.7500 0.7500 0.7500  4 Mn 2.50, 4 Rh 2.50

Values from the calculation:
total energy	-7.33	eV per atom
E_form (uncorrected)	-0.49	eV per atom

Entry 7:
Mn2SiRh | PBE | optimized geometry

Cell: 2.9911 4.0541 4.0694 Å, 90.00 90.00 90.00°
Last column: nearest neighbours and their distance in Å.
Fractional coordinates of all 4 atoms:
Si: 0.0000 0.5000 0.5000  4 Rh 2.52, 4 Mn 2.53
Mn: 0.0000 0.0000 0.0000  4 Mn 2.52, 4 Rh 2.53
Mn: 0.5000 0.5000 0.0000  4 Mn 2.52, 4 Si 2.53
Rh: 0.5000 0.0000 0.5000  4 Si 2.52, 4 Mn 2.53

Values from the calculation:
total energy	-8.13	eV per atom
E_form (uncorrected)	-0.35	eV per atom

Entry 8:
Mn2SiRh3 | PBE | optimized geometry

Cell: 4.2478 6.7359 6.0673 Å, 90.00 89.98 71.62°
Last column: nearest neighbours and their distance in Å.
Fractional coordinates of all 12 atoms:
Si: 0.3399 0.3202 0.0000  8 Rh 2.52-2.58
Si: 0.6601 0.6798 0.0000  8 Rh 2.52-2.58
Mn: 0.6667 0.6667 0.5000  8 Rh 2.63-2.67
Mn: 0.0000 0.0000 0.5000  8 Rh 2.64-2.72
Mn: 0.3333 0.3333 0.5000  8 Rh 2.63-2.67
Mn: 0.0000 0.0000 0.0000  8 Rh 2.58-2.61
Rh: 0.8290 0.3425 0.7667  3 Si 2.56-2.58, 5 Mn 2.61-2.72, 1 Rh 2.83
Rh: 0.1716 0.6575 0.7667  3 Si 2.56-2.58, 5 Mn 2.61-2.72, 1 Rh 2.83
Rh: 0.1710 0.6575 0.2333  3 Si 2.56-2.58, 5 Mn 2.61-2.72, 1 Rh 2.83
Rh: 0.4996 0.0000 0.2422  2 Si 2.52, 6 Mn 2.58-2.64
Rh: 0.8284 0.3425 0.2333  3 Si 2.56-2.58, 5 Mn 2.61-2.72, 1 Rh 2.83
Rh: 0.5004 0.0000 0.7578  2 Si 2.52, 6 Mn 2.58-2.64

Values from the calculation:
total energy	-8.10	eV per atom
E_form (uncorrected)	-0.47	eV per atom

Entry 9:
MnSiRh3 | PBE | optimized geometry

Cell: 4.3473 4.3473 4.3473 Å, 90.00 90.00 90.00°
Last column: nearest neighbours and their distance in Å.
Fractional coordinates of all 5 atoms:
Rh: 0.0000 0.0000 0.5000  2 Si 2.17
Rh: 0.0000 0.5000 0.0000  2 Si 2.17
Rh: 0.5000 0.0000 0.0000  2 Si 2.17
Si: 0.0000 0.0000 0.0000  6 Rh 2.17
Mn: 0.5000 0.5000 0.5000  12 Rh 3.07

Values from the calculation:
ΔE to the lowest computed polymorph	0.000	eV/atom
total energy	-6.65	eV per atom
E_form (uncorrected)	0.68	eV per atom

Entry 10:
Mn2SiRh | PBE | optimized geometry

Cell: 4.5251 4.5251 4.2890 Å, 74.34 74.34 37.93°
Last column: nearest neighbours and their distance in Å.
Fractional coordinates of all 4 atoms:
Si: 0.2499 0.2499 0.2950  3 Rh 2.44-2.50, 6 Mn 2.55-2.66
Mn: 0.9984 0.9984 0.9495  3 Mn 2.44-2.47, 4 Rh 2.60, 2 Si 2.66
Mn: 0.7397 0.7397 0.8140  3 Mn 2.44-2.47, 4 Si 2.55-2.65
Rh: 0.5120 0.5120 0.4414  3 Si 2.44-2.50, 4 Mn 2.60

Values from the calculation:
total energy	-8.11	eV per atom
E_form (uncorrected)	-0.34	eV per atom

Entry 11:
MnSi2Rh | PBE | optimized geometry

Cell: 2.7718 4.9039 4.9765 Å, 49.81 90.00 90.00°
Last column: nearest neighbours and their distance in Å.
Fractional coordinates of all 4 atoms:
Si: 0.0000 0.0000 0.0000  2 Rh 2.49, 4 Mn 2.50, 2 Si 2.77
Si: 0.5000 0.5000 0.0000  2 Mn 2.49, 4 Rh 2.50, 2 Si 2.77
Mn: 0.5000 0.5000 0.5000  6 Si 2.49-2.50, 2 Mn 2.77
Rh: 0.0000 0.0000 0.5000  6 Si 2.49-2.50, 2 Rh 2.77

Values from the calculation:
total energy	-7.21	eV per atom
E_form (uncorrected)	-0.37	eV per atom

Entry 12:
MnSiRh3 | PBE | optimized geometry

Cell: 4.4195 4.4195 4.4195 Å, 90.00 90.00 90.00°
Last column: nearest neighbours and their distance in Å.
Fractional coordinates of all 5 atoms:
Rh: 0.0000 0.0000 0.5000  2 Mn 2.21
Rh: 0.0000 0.5000 0.0000  2 Mn 2.21
Rh: 0.5000 0.0000 0.0000  2 Mn 2.21
Si: 0.5000 0.5000 0.5000  12 Rh 3.13
Mn: 0.0000 0.0000 0.0000  6 Rh 2.21

Values from the calculation:
ΔE to the lowest computed polymorph	0.330	eV/atom
total energy	-6.32	eV per atom
E_form (uncorrected)	1.01	eV per atom

Entry 13:
Mn2SiRh | PBE | optimized geometry

Cell: 3.8149 3.6482 3.6482 Å, 90.00 90.00 90.00°
Last column: nearest neighbours and their distance in Å.
Fractional coordinates of all 4 atoms:
Mn: 0.0000 0.0000 0.0000  4 Mn 2.58, 4 Rh 2.64, 4 Si 2.64
Mn: 0.0000 0.5000 0.5000  4 Mn 2.58, 4 Rh 2.64, 4 Si 2.64
Rh: 0.5000 0.5000 0.0000  4 Si 2.58, 8 Mn 2.64
Si: 0.5000 0.0000 0.5000  4 Rh 2.58, 8 Mn 2.64

Values from the calculation:
total energy	-8.09	eV per atom
E_form (uncorrected)	-0.32	eV per atom

Entry 14:
Mn4SiRh | PBE | optimized geometry

Cell: 4.6539 4.6539 4.6539 Å, 60.00 60.00 60.00°
Last column: nearest neighbours and their distance in Å.
Fractional coordinates of all 6 atoms:
Rh: 0.2500 0.2500 0.2500  12 Mn 2.73, 4 Si 2.85
Mn: 0.6258 0.1227 0.6258  6 Mn 2.31-2.34
Mn: 0.6258 0.6258 0.6258  6 Mn 2.31-2.34
Mn: 0.1227 0.6258 0.6258  6 Mn 2.31-2.34
Mn: 0.6258 0.6258 0.1227  6 Mn 2.31-2.34
Si: 0.0000 0.0000 0.0000  12 Mn 2.73, 4 Rh 2.85

Values from the calculation:
total energy	-8.12	eV per atom
E_form (uncorrected)	0.12	eV per atom

Entry 15:
MnSi2Rh | PBE | optimized geometry

Cell: 3.1044 3.1044 5.2544 Å, 90.00 90.00 90.00°
Last column: nearest neighbours and their distance in Å.
Fractional coordinates of all 4 atoms:
Si: 0.0000 0.0000 0.9938  1 Mn 2.34, 4 Rh 2.44
Si: 0.5000 0.5000 0.2763  4 Mn 2.36, 1 Rh 2.56
Rh: 0.5000 0.5000 0.7899  6 Si 2.44-2.70
Mn: 0.0000 0.0000 0.4400  5 Si 2.34-2.36

Values from the calculation:
total energy	-7.24	eV per atom
E_form (uncorrected)	-0.40	eV per atom